# 1
First-principles (PBE) data for a relaxed structure of RhC3, as listed in the Alexandria database.

```
data_RhC3
_chemical_formula_sum 'Rh4 C12'
_space_group_name_H-M_alt 'I 4/m m m'
_space_group_IT_number 139
_space_group_name_Hall '-I 4 2'
_cell_length_a 2.9328
_cell_length_b 2.9328
_cell_length_c 17.3837
_cell_angle_alpha 90.00
_cell_angle_beta 90.00
_cell_angle_gamma 90.00
loop_
_atom_site_label
_atom_site_fract_x
_atom_site_fract_y
_atom_site_fract_z
Rh1 0.0000 0.0000 0.1713
C1 0.0000 0.0000 0.4370
C2 0.0000 0.5000 0.0000
C3 0.0000 0.5000 0.2500
```

Summary:
The energy above the most stable polymorph in this dataset comes out at 1810.6 meV/atom. The value obtained for the formation energy is 2.38 eV per atom.

---

# 2
First-principles (PBE) data for a relaxed structure of Dy2ZrAu6, as listed in the Alexandria database.

```
data_Dy2ZrAu6
_chemical_formula_sum 'Dy4 Zr2 Au12'
_space_group_name_H-M_alt 'C 1 2/m 1'
_space_group_IT_number 12
_cell_length_a 5.1870
_cell_length_b 16.1237
_cell_length_c 5.1736
_cell_angle_alpha 90.00
_cell_angle_beta 119.99
_cell_angle_gamma 90.00
loop_
_space_group_symop_operation_xyz
'x,y,z'
'-x,-y,-z'
'-x,y,-z'
'x,-y,z'
'x+1/2,y+1/2,z'
'-x+1/2,-y+1/2,-z'
'-x+1/2,y+1/2,-z'
'x+1/2,-y+1/2,z'
loop_
_atom_site_label
_atom_site_fract_x
_atom_site_fract_y
_atom_site_fract_z
Dy1 0.0000 0.1657 0.0000
Zr1 0.0000 0.5000 0.5000
Au1 0.1615 0.0000 0.8311
Au2 0.1625 0.3386 0.3346
```

Summary:
The value obtained for the formation energy is -0.69 eV per atom.

---

# 3
First-principles (PBE) data for a relaxed structure of Y3CdIn, as listed in the Alexandria database.

```
data_Y3CdIn
_chemical_formula_sum 'Y3 Cd1 In1'
_space_group_name_H-M_alt 'P m -3 m'
_space_group_IT_number 221
_space_group_name_Hall '-P 4 2 3'
_cell_length_a 5.6027
_cell_length_b 5.6027
_cell_length_c 5.6027
_cell_angle_alpha 90.00
_cell_angle_beta 90.00
_cell_angle_gamma 90.00
loop_
_atom_site_label
_atom_site_fract_x
_atom_site_fract_y
_atom_site_fract_z
Y1 0.0000 0.0000 0.5000
Cd1 0.0000 0.0000 0.0000
In1 0.5000 0.5000 0.5000
```

Summary:
The energy above the most stable polymorph in this dataset comes out at 622.9 meV/atom. The value obtained for the formation energy is 0.28 eV per atom.

---

# 4
First-principles (PBE) data for a relaxed structure of Zn3Cu3Pd, as listed in the Alexandria database.

```
data_Zn3Cu3Pd
_chemical_formula_sum 'Zn12 Cu12 Pd4'
_space_group_name_H-M_alt 'C 1 2/m 1'
_space_group_IT_number 12
_cell_length_a 8.3891
_cell_length_b 8.8520
_cell_length_c 5.3245
_cell_angle_alpha 90.00
_cell_angle_beta 90.00
_cell_angle_gamma 90.00
loop_
_space_group_symop_operation_xyz
'x,y,z'
'-x,-y,-z'
'-x,y,-z'
'x,-y,z'
'x+1/2,y+1/2,z'
'-x+1/2,-y+1/2,-z'
'-x+1/2,y+1/2,-z'
'x+1/2,-y+1/2,z'
loop_
_atom_site_label
_atom_site_fract_x
_atom_site_fract_y
_atom_site_fract_z
Zn1 0.9998 0.0000 0.2440
Zn2 0.2500 0.2503 0.2595
Cu1 0.0000 0.2704 0.0000
Cu2 0.0000 0.3449 0.5000
Cu3 0.2470 0.5000 0.5004
Pd1 0.2097 0.5000 0.9995
```

Summary:
The energy above the most stable polymorph in this dataset comes out at 0.0 meV/atom. The value obtained for the formation energy is -0.08 eV per atom.

---

# 5
First-principles (PBE) data for a relaxed structure of RhW2Cl, as listed in the Alexandria database.

```
data_RhW2Cl
_chemical_formula_sum 'Rh1 W2 Cl1'
_space_group_name_H-M_alt 'P m m m'
_space_group_IT_number 47
_cell_length_a 2.8020
_cell_length_b 3.7170
_cell_length_c 6.7600
_cell_angle_alpha 90.00
_cell_angle_beta 90.00
_cell_angle_gamma 90.00
loop_
_space_group_symop_operation_xyz
'x,y,z'
'-x,-y,-z'
'-x,-y,z'
'x,y,-z'
'x,-y,-z'
'-x,y,z'
'-x,y,-z'
'x,-y,z'
loop_
_atom_site_label
_atom_site_fract_x
_atom_site_fract_y
_atom_site_fract_z
Rh1 0.0000 0.0000 0.0000
W1 0.5000 0.5000 0.1938
Cl1 0.0000 0.0000 0.5000
```

Summary:
The energy above the most stable polymorph in this dataset comes out at 497.4 meV/atom. The value obtained for the uncorrected formation energy is 0.679 eV/atom.

---

# 6
First-principles (PBE) data for a relaxed structure of Tb2Sm2Te7, as listed in the Alexandria database.

```
data_Tb2Sm2Te7
_chemical_formula_sum 'Tb4 Sm4 Te14'
_space_group_name_H-M_alt 'C m m m'
_space_group_IT_number 65
_space_group_name_Hall '-C 2 2'
_cell_length_a 11.0572
_cell_length_b 11.0952
_cell_length_c 6.9229
_cell_angle_alpha 90.00
_cell_angle_beta 90.00
_cell_angle_gamma 90.00
loop_
_atom_site_label
_atom_site_fract_x
_atom_site_fract_y
_atom_site_fract_z
Tb1 0.2225 0.0000 0.0000
Sm1 0.0000 0.2348 0.5000
Te1 0.0000 0.0000 0.2500
Te2 0.0000 0.5000 0.5000
Te3 0.2500 0.2500 0.2414
```

Summary:
The value obtained for the uncorrected formation energy is -1.011 eV/atom.

---

# 7
First-principles (PBE) data for a relaxed structure of TlNi2Cl, as listed in the Alexandria database.

```
data_TlNi2Cl
_chemical_formula_sum 'Tl1 Ni2 Cl1'
_space_group_name_H-M_alt 'P m m m'
_space_group_IT_number 47
_cell_length_a 3.1638
_cell_length_b 3.7262
_cell_length_c 6.1302
_cell_angle_alpha 90.00
_cell_angle_beta 90.00
_cell_angle_gamma 90.00
loop_
_space_group_symop_operation_xyz
'x,y,z'
'-x,-y,-z'
'-x,-y,z'
'x,y,-z'
'x,-y,-z'
'-x,y,z'
'-x,y,-z'
'x,-y,z'
loop_
_atom_site_label
_atom_site_fract_x
_atom_site_fract_y
_atom_site_fract_z
Tl1 0.0000 0.0000 0.0000
Ni1 0.5000 0.5000 0.2003
Cl1 0.0000 0.5000 0.5000
```

Summary:
The energy above the most stable polymorph in this dataset comes out at 66.1 meV/atom. The value obtained for the uncorrected formation energy is 0.141 eV/atom.

---

# 8
First-principles (PBE) data for a relaxed structure of SrScCr2, as listed in the Alexandria database.

```
data_SrScCr2
_chemical_formula_sum 'Sr1 Sc1 Cr2'
_space_group_name_H-M_alt 'P 4/m m m'
_space_group_IT_number 123
_space_group_name_Hall '-P 4 2'
_cell_length_a 3.5443
_cell_length_b 3.5443
_cell_length_c 7.7987
_cell_angle_alpha 90.00
_cell_angle_beta 90.00
_cell_angle_gamma 90.00
loop_
_atom_site_label
_atom_site_fract_x
_atom_site_fract_y
_atom_site_fract_z
Sr1 0.0000 0.0000 0.0000
Sc1 0.0000 0.0000 0.5000
Cr1 0.5000 0.5000 0.3011
```

Summary:
The energy above the most stable polymorph in this dataset comes out at 165.8 meV/atom. The value obtained for the formation energy is 0.63 eV per atom.

---

Calculated total magnetic moment in order - 0.000 0.000 0.000 0.000 0.000 0.000 0.079 2.041 μB/atom